DFT (PBEsol) results for a relaxed structure of BaRuW2.

Its crystal system is monoclinic. The formation energy comes out at 544.5 kJ/mol of formula units. The value obtained for the final energy is -68.6 eV per cell.

It has space group C2/m (No. 12), with a = 5.4651 Å, b = 9.8496 Å, c = 2.8756 Å, α = 90.00°, β = 108.18° and γ = 90.00°. The asymmetric unit holds Ba at (0.0000, 0.0000, 0.0000), Ru at (0.0000, 0.5000, 0.0000) and W at (0.2500, 0.2500, 0.5000).